# MnAlHS2 meta-GGA SCAN single point on PBEsol structure
data_MnAlHS2
_chemical_formula_sum 'Mn1 Al1 H1 S2'
_cell_length_a 4.5308
_cell_length_b 4.5308
_cell_length_c 4.9819
_cell_angle_alpha 90.00
_cell_angle_beta 90.00
_cell_angle_gamma 90.00
_space_group_name_H-M_alt 'P 4/m m m'
_space_group_IT_number 123
_space_group_name_Hall '-P 4 2'
loop_
_atom_site_label
_atom_site_fract_x
_atom_site_fract_y
_atom_site_fract_z
Mn1 0.0000 0.0000 0.0000
Al1 0.0000 0.0000 0.5000
H1 0.5000 0.5000 0.0000
S1 0.0000 0.5000 0.5000
# DFT total energy in eV per atom: -9.1316
# Total magnetic moment in μB per cell: 5.8
# Calculated volume in Å³/f.u.: 102.3

# Ta2MnAlH meta-GGA SCAN single point on PBEsol structure
data_Ta2MnAlH
_chemical_formula_sum 'Ta2 Mn1 Al1 H1'
_cell_length_a 4.4734
_cell_length_b 4.4734
_cell_length_c 4.5182
_cell_angle_alpha 90.00
_cell_angle_beta 90.00
_cell_angle_gamma 90.00
_space_group_name_H-M_alt 'P 4/m m m'
_space_group_IT_number 123
_space_group_name_Hall '-P 4 2'
loop_
_atom_site_label
_atom_site_fract_x
_atom_site_fract_y
_atom_site_fract_z
Ta1 0.0000 0.5000 0.0000
Mn1 0.0000 0.0000 0.0000
Al1 0.0000 0.0000 0.5000
H1 0.5000 0.5000 0.5000
# DFT total energy in eV per atom: -31.2479
# Total magnetic moment in μB per cell: 0.0
# Calculated volume in Å³/f.u.: 90.4

# AlMo2H2 meta-GGA SCAN single point on PBEsol structure
data_AlMo2H2
_chemical_formula_sum 'Al2 Mo4 H4'
_cell_length_a 3.1256
_cell_length_b 3.1256
_cell_length_c 10.2882
_cell_angle_alpha 90.00
_cell_angle_beta 90.00
_cell_angle_gamma 90.00
_space_group_name_H-M_alt 'I 4/m m m'
_space_group_IT_number 139
_space_group_name_Hall '-I 4 2'
loop_
_atom_site_label
_atom_site_fract_x
_atom_site_fract_y
_atom_site_fract_z
Al1 0.0000 0.0000 0.0000
Mo1 0.0000 0.0000 0.3453
H1 0.0000 0.5000 0.2500
# DFT total energy in eV per atom: -16.9340
# Total magnetic moment in μB per cell: 0.0
# Calculated volume in Å³/f.u.: 50.3